This record from the Alexandria database describes a geometry-optimized Te2PdO structure. The functional is PBE-GGA.

Computed properties:
Crystal system ... tetragonal
Raw total energy ... -67.41 eV per cell
SG ... No. 122
Raw formation energy ... -0.10 eV/atom
Size of the total moment ... 0.00 μB/f.u.

Cell: 5.2375 5.2375 13.1954 Å, 90.00 90.00 90.00°
Sites, in units of the cell vectors:
Te  0.2007  0.2500  0.1250
Te  0.2500  0.7007  0.3750
Te  0.2500  0.7993  0.8750
Te  0.2993  0.2500  0.6250
Te  0.7007  0.7500  0.6250
Te  0.7500  0.2007  0.8750
Te  0.7500  0.2993  0.3750
Te  0.7993  0.7500  0.1250
Pd  0.0000  0.0000  0.5000
Pd  0.0000  0.5000  0.7500
Pd  0.5000  0.0000  0.2500
Pd  0.5000  0.5000  0.0000
O  0.0000  0.0000  0.0000
O  0.0000  0.5000  0.2500
O  0.5000  0.0000  0.7500
O  0.5000  0.5000  0.5000